[1]
DFT (PBE) results for an optimized crystal structure of K2TaP.

Geometry as extended XYZ:
```
8
Lattice="-6.2815 6.2815 2.4038 6.2815 -6.2815 2.4038 6.2815 6.2815 -2.4038" Properties=species:S:1:pos:R:3 pbc="T T T"
K 0.7495 3.1408 0.6010
K -3.1408 5.5320 1.8029
K -0.7495 9.4223 0.6010
K 3.1408 7.0310 1.8029
Ta 6.2815 0.0000 1.2019
Ta 0.0000 0.0000 2.4038
P 0.0000 0.0000 0.0000
P 0.0000 6.2815 1.2019
```

Calculated values
As for the energy: -34.5 eV/cell. For the volume, the calculation gives 379.39 Å³/cell.

=====

[2]
DFT (PBE) results for an optimized crystal structure of NaPuZnO4.

Geometry as extended XYZ:
```
14
Lattice="-3.1687 3.4398 4.5859 3.1687 -3.4398 4.5859 3.1687 3.4398 -4.5859" Properties=species:S:1:pos:R:3 pbc="T T T"
Na 0.0000 1.7199 1.3658
Na 3.1687 1.7199 3.2201
Pu 3.1687 0.0000 0.0000
Pu 0.0000 0.0000 4.5859
Zn 1.5843 1.7199 -2.2929
Zn 1.5843 -1.7199 2.2929
O 3.1687 -0.3194 2.0787
O 3.1687 3.1205 -2.0787
O 1.8330 1.7199 0.0588
O 4.5043 1.7199 0.0588
O -1.3357 1.7199 4.5271
O 1.3357 1.7199 4.5271
O 0.0000 0.3194 6.6646
O 0.0000 3.7592 2.5071
```

Calculated values
As for the energy: -103.2 eV/cell. For the volume, the calculation gives 199.94 Å³/cell. For the energy relative to the elements, uncorrected, the calculation gives -2.120 eV/atom.